VASP calculation (PBE) on CdSnB3 after structural relaxation.

Values from the calculation:
Calculated formation energy (eV per formula unit): 10.58
Fermi-level density of states (states/eV per cell): 3.3
Magnetic moment (μB/f.u.): 0.00
Space group: Pm-3m, No. 221
Energy above the most stable polymorph in this dataset (meV per atom): 65
Electronic total energy (eV/atom): -2.875

Cell: 4.4517 4.4517 4.4517 Å, 90.00 90.00 90.00°
Closest atoms and distances in Å follow each position.
Positions (direct):
B 0.0000 0.5000 0.0000  2 Cd 2.23
B 0.0000 0.0000 0.5000  2 Cd 2.23
B 0.5000 0.0000 0.0000  2 Cd 2.23
Sn 0.5000 0.5000 0.5000  12 B 3.15
Cd 0.0000 0.0000 0.0000  6 B 2.23